*1*
First-principles (PBE) data for an optimized crystal structure of RbCd2GaAg, as listed in the Alexandria database.

DOS(E_F) ... 3.012 states/eV per cell

Cell lengths 5.469, 5.469, 5.141 Å; angles 90.00, 90.00, 90.00 degrees
Space group P4/mmm (No. 123)
Asymmetric unit:
1 Rb 0.000 0.000 0.000 x1
2 Cd 0.000 0.500 0.500 x2
3 Ga 0.500 0.500 0.000 x1
4 Ag 0.500 0.500 0.500 x1

***

*2*
First-principles (PBE) data for an optimized crystal structure of RbCd2GaAg, as listed in the Alexandria database.

DOS(E_F) ... 1.554 states/eV per cell

Cell lengths 5.459, 5.459, 5.196 Å; angles 90.00, 90.00, 90.00 degrees
Space group P4/mmm (No. 123)
Asymmetric unit:
1 Rb 0.000 0.000 0.000 x1
2 Cd 0.000 0.500 0.500 x2
3 Ga 0.500 0.500 0.500 x1
4 Ag 0.500 0.500 0.000 x1

***

*2* takes first place; second place is 0.034 eV/atom up.

***

*1*
First-principles (PBE) data for an optimized crystal structure of Cd2Ag2Ge, as listed in the Alexandria database.

DOS(E_F) ... 2.201 states/eV per cell

Cell lengths 8.125, 8.125, 3.116 Å; angles 90.00, 90.00, 90.00 degrees
Space group P4/mbm (No. 127)
Asymmetric unit:
1 Cd 0.174 0.326 0.000 x4
2 Ag 0.124 0.624 0.500 x4
3 Ge 0.000 0.000 0.500 x2

***

*2*
First-principles (PBE) data for an optimized crystal structure of Cd2Ag2Ge, as listed in the Alexandria database.

DOS(E_F) ... 5.257 states/eV per cell

Cell lengths 8.261, 8.261, 3.039 Å; angles 90.00, 90.00, 90.00 degrees
Space group P4/mbm (No. 127)
Asymmetric unit:
1 Cd 0.131 0.369 0.000 x4
2 Ag 0.168 0.668 0.500 x4
3 Ge 0.000 0.000 0.000 x2

***

*3*
First-principles (PBE) data for an optimized crystal structure of Cd2Ag2Ge, as listed in the Alexandria database.

DOS(E_F) ... 4.361 states/eV per cell

Cell lengths 3.836, 3.836, 14.850 Å; angles 90.00, 90.00, 90.00 degrees
Space group I4/mmm (No. 139)
Asymmetric unit:
1 Cd 0.000 0.000 0.100 x4
2 Ag 0.000 0.500 0.250 x4
3 Ge 0.000 0.000 0.500 x2

***

*1* takes first place; second place is 0.017 eV/atom up.